# Na2CuIrO | Alexandria via LeMat-Bulk | meta-GGA SCAN | PBEsol geometry
data_Na2CuIrO
_chemical_formula_sum 'Na2 Cu1 Ir1 O1'
_space_group_name_H-M_alt 'P 4/m m m'
_space_group_IT_number 123
_space_group_name_Hall '-P 4 2'
_cell_length_a 5.085
_cell_length_b 5.085
_cell_length_c 4.501
_cell_angle_alpha 90.00
_cell_angle_beta 90.00
_cell_angle_gamma 90.00
loop_
_atom_site_label
_atom_site_type_symbol
_atom_site_fract_x
_atom_site_fract_y
_atom_site_fract_z
Na1 Na 0.000 0.500 0.000
Cu1 Cu 0.000 0.000 0.000
Ir1 Ir 0.000 0.000 0.500
O1 O 0.500 0.500 0.500
# * E: -19.202 eV per atom
# * magnetic moment: 2.92 μB per cell
# * energy relative to the elements, uncorrected: 990 meV/atom

***

# Co3C2Se2O10 | Alexandria via LeMat-Bulk | meta-GGA SCAN | PBEsol geometry
data_Co3C2Se2O10
_chemical_formula_sum 'Co6 C4 Se4 O20'
_space_group_name_H-M_alt 'C 1 2/m 1'
_space_group_IT_number 12
_cell_length_a 9.087
_cell_length_b 6.320
_cell_length_c 7.630
_cell_angle_alpha 90.00
_cell_angle_beta 117.01
_cell_angle_gamma 90.00
loop_
_space_group_symop_operation_xyz
'x,y,z'
'-x,-y,-z'
'-x,y,-z'
'x,-y,z'
'x+1/2,y+1/2,z'
'-x+1/2,-y+1/2,-z'
'-x+1/2,y+1/2,-z'
'x+1/2,-y+1/2,z'
loop_
_atom_site_label
_atom_site_type_symbol
_atom_site_fract_x
_atom_site_fract_y
_atom_site_fract_z
Co1 Co 0.000 0.000 0.000
Co2 Co 0.190 0.500 0.178
C1 C 0.042 0.000 0.433
Se1 Se 0.158 0.500 0.732
O1 O 0.055 0.000 0.751
O2 O 0.059 0.500 0.876
O3 O 0.186 0.193 0.153
O4 O 0.198 0.000 0.516
# * E: -11.370 eV per atom
# * magnetic moment: 18.00 μB per cell
# * energy relative to the elements, uncorrected: -1101 meV/atom

***

# ZrReRh2 | Alexandria via LeMat-Bulk | meta-GGA SCAN | PBEsol geometry
data_ZrReRh2
_chemical_formula_sum 'Zr1 Re1 Rh2'
_space_group_name_H-M_alt 'P m m 2'
_space_group_IT_number 25
_cell_length_a 2.805
_cell_length_b 4.466
_cell_length_c 4.841
_cell_angle_alpha 90.00
_cell_angle_beta 90.00
_cell_angle_gamma 90.00
loop_
_space_group_symop_operation_xyz
'x,y,z'
'-x,-y,z'
'-x,y,z'
'x,-y,z'
loop_
_atom_site_label
_atom_site_type_symbol
_atom_site_fract_x
_atom_site_fract_y
_atom_site_fract_z
Zr1 Zr 0.000 0.000 0.000
Re1 Re 0.000 0.500 0.375
Rh1 Rh 0.500 0.000 0.501
Rh2 Rh 0.500 0.500 0.862
# * E: -42.715 eV per atom
# * calculated formation energy: -0.38 eV/atom
# * magnetic moment: 0.00 μB per cell
# * polymorph energy (0 for the lowest one): 0.00 kJ/mol of atoms

***

# BaFeTe2 | Alexandria via LeMat-Bulk | meta-GGA SCAN | PBEsol geometry
data_BaFeTe2
_chemical_formula_sum 'Ba1 Fe1 Te2'
_space_group_name_H-M_alt 'P 4/m m m'
_space_group_IT_number 123
_space_group_name_Hall '-P 4 2'
_cell_length_a 3.694
_cell_length_b 3.694
_cell_length_c 7.887
_cell_angle_alpha 90.00
_cell_angle_beta 90.00
_cell_angle_gamma 90.00
loop_
_atom_site_label
_atom_site_type_symbol
_atom_site_fract_x
_atom_site_fract_y
_atom_site_fract_z
Ba1 Ba 0.000 0.000 0.000
Fe1 Fe 0.000 0.000 0.500
Te1 Te 0.500 0.500 0.296
# * E: -33.364 eV per atom
# * magnetic moment: 3.66 μB per cell
# * energy relative to the elements, uncorrected: -319 meV/atom

***

# Rb2LiAuF6 | Alexandria via LeMat-Bulk | meta-GGA SCAN | PBEsol geometry
data_Rb2LiAuF6
_chemical_formula_sum 'Rb8 Li4 Au4 F24'
_space_group_name_H-M_alt 'F m -3 m'
_space_group_IT_number 225
_space_group_name_Hall '-F 4 2 3'
_cell_length_a 8.375
_cell_length_b 8.375
_cell_length_c 8.375
_cell_angle_alpha 90.00
_cell_angle_beta 90.00
_cell_angle_gamma 90.00
loop_
_atom_site_label
_atom_site_type_symbol
_atom_site_fract_x
_atom_site_fract_y
_atom_site_fract_z
Rb1 Rb 0.250 0.250 0.250
Li1 Li 0.000 0.000 0.000
Au1 Au 0.000 0.000 0.500
F1 F 0.000 0.000 0.247
# * E: -15.723 eV per atom
# * magnetic moment: 8.00 μB per cell
# * energy relative to the elements, uncorrected: -2297 meV/atom

***

# Fe2ReNi | Alexandria via LeMat-Bulk | meta-GGA SCAN | PBEsol geometry
data_Fe2ReNi
_chemical_formula_sum 'Fe4 Re2 Ni2'
_space_group_name_H-M_alt 'I 4/m m m'
_space_group_IT_number 139
_space_group_name_Hall '-I 4 2'
_cell_length_a 3.586
_cell_length_b 3.586
_cell_length_c 7.030
_cell_angle_alpha 90.00
_cell_angle_beta 90.00
_cell_angle_gamma 90.00
loop_
_atom_site_label
_atom_site_type_symbol
_atom_site_fract_x
_atom_site_fract_y
_atom_site_fract_z
Fe1 Fe 0.000 0.500 0.250
Re1 Re 0.000 0.000 0.000
Ni1 Ni 0.000 0.000 0.500
# * E: -30.789 eV per atom
# * calculated formation energy: 0.09 eV/atom
# * magnetic moment: 6.85 μB per cell

***

# ZnGeBr3 | Alexandria via LeMat-Bulk | meta-GGA SCAN | PBEsol geometry
data_ZnGeBr3
_chemical_formula_sum 'Zn1 Ge1 Br3'
_space_group_name_H-M_alt 'P m -3 m'
_space_group_IT_number 221
_space_group_name_Hall '-P 4 2 3'
_cell_length_a 5.032
_cell_length_b 5.032
_cell_length_c 5.032
_cell_angle_alpha 90.00
_cell_angle_beta 90.00
_cell_angle_gamma 90.00
loop_
_atom_site_label
_atom_site_type_symbol
_atom_site_fract_x
_atom_site_fract_y
_atom_site_fract_z
Zn1 Zn 0.000 0.000 0.000
Ge1 Ge 0.500 0.500 0.500
Br1 Br 0.000 0.000 0.500
# * E: -18.318 eV per atom
# * magnetic moment: 0.80 μB per cell
# * energy relative to the elements, uncorrected: -122 meV/atom

***

# V2GeC | Alexandria via LeMat-Bulk | meta-GGA SCAN | PBEsol geometry
data_V2GeC
_chemical_formula_sum 'V4 Ge2 C2'
_space_group_name_H-M_alt 'P 63/m m c'
_space_group_IT_number 194
_space_group_name_Hall '-P 6c 2c'
_cell_length_a 2.9734
_cell_length_b 2.9734
_cell_length_c 12.0571
_cell_angle_alpha 90.00
_cell_angle_beta 90.00
_cell_angle_gamma 120.00
loop_
_atom_site_label
_atom_site_type_symbol
_atom_site_fract_x
_atom_site_fract_y
_atom_site_fract_z
V1 V 0.3333 0.6667 0.0884
Ge1 Ge 0.3333 0.6667 0.7500
C1 C 0.0000 0.0000 0.0000
# * E: -16.587 eV per atom
# * calculated formation energy: -0.55 eV/atom
# * magnetic moment: 0.00 μB per cell

***

# AsRu2Au | Alexandria via LeMat-Bulk | meta-GGA SCAN | PBEsol geometry
data_AsRu2Au
_chemical_formula_sum 'As1 Ru2 Au1'
_space_group_name_H-M_alt 'P 4 m m'
_space_group_IT_number 99
_cell_length_a 2.795
_cell_length_b 2.795
_cell_length_c 7.890
_cell_angle_alpha 90.00
_cell_angle_beta 90.00
_cell_angle_gamma 90.00
loop_
_space_group_symop_operation_xyz
'x,y,z'
'-y,x,z'
'-x,-y,z'
'y,-x,z'
'-x,y,z'
'y,x,z'
'x,-y,z'
'-y,-x,z'
loop_
_atom_site_label
_atom_site_type_symbol
_atom_site_fract_x
_atom_site_fract_y
_atom_site_fract_z
As1 As 0.000 0.000 0.000
Ru1 Ru 0.000 0.000 0.564
Ru2 Ru 0.500 0.500 0.774
Au1 Au 0.500 0.500 0.307
# * E: -39.566 eV per atom
# * calculated formation energy: 0.18 eV/atom
# * magnetic moment: 0.00 μB per cell

***

# Li2TcSe | Alexandria via LeMat-Bulk | meta-GGA SCAN | PBEsol geometry
data_Li2TcSe
_chemical_formula_sum 'Li8 Tc4 Se4'
_space_group_name_H-M_alt 'I -4 2 d'
_space_group_IT_number 122
_space_group_name_Hall 'I -4 2bw'
_cell_length_a 7.181
_cell_length_b 7.181
_cell_length_c 4.715
_cell_angle_alpha 90.00
_cell_angle_beta 90.00
_cell_angle_gamma 90.00
loop_
_atom_site_label
_atom_site_type_symbol
_atom_site_fract_x
_atom_site_fract_y
_atom_site_fract_z
Li1 Li 0.218 0.750 0.125
Tc1 Tc 0.000 0.000 0.500
Se1 Se 0.000 0.000 0.000
# * E: -14.857 eV per atom
# * magnetic moment: 0.00 μB per cell
# * energy relative to the elements, uncorrected: 122 meV/atom

***

# Li2MnCl | Alexandria via LeMat-Bulk | meta-GGA SCAN | PBEsol geometry
data_Li2MnCl
_chemical_formula_sum 'Li8 Mn4 Cl4'
_space_group_name_H-M_alt 'I -4 2 d'
_space_group_IT_number 122
_space_group_name_Hall 'I -4 2bw'
_cell_length_a 7.050
_cell_length_b 7.050
_cell_length_c 5.983
_cell_angle_alpha 90.00
_cell_angle_beta 90.00
_cell_angle_gamma 90.00
loop_
_atom_site_label
_atom_site_type_symbol
_atom_site_fract_x
_atom_site_fract_y
_atom_site_fract_z
Li1 Li 0.188 0.250 0.125
Mn1 Mn 0.000 0.000 0.500
Cl1 Cl 0.000 0.000 0.000
# * E: -8.183 eV per atom
# * magnetic moment: 18.57 μB per cell
# * polymorph energy (0 for the lowest one): 0.00 kJ/mol of atoms
# * energy relative to the elements, uncorrected: -430 meV/atom

***

# Fe3Re | Alexandria via LeMat-Bulk | meta-GGA SCAN | PBEsol geometry
data_Fe3Re
_chemical_formula_sum 'Fe6 Re2'
_space_group_name_H-M_alt 'P m -3 n'
_space_group_IT_number 223
_space_group_name_Hall '-P 4n 2 3'
_cell_length_a 4.540
_cell_length_b 4.540
_cell_length_c 4.540
_cell_angle_alpha 90.00
_cell_angle_beta 90.00
_cell_angle_gamma 90.00
loop_
_atom_site_label
_atom_site_type_symbol
_atom_site_fract_x
_atom_site_fract_y
_atom_site_fract_z
Fe1 Fe 0.000 0.250 0.500
Re1 Re 0.000 0.000 0.000
# * E: -31.273 eV per atom
# * calculated formation energy: 0.10 eV/atom
# * magnetic moment: 10.53 μB per cell

***

# LaY2Ru2 | Alexandria via LeMat-Bulk | meta-GGA SCAN | PBEsol geometry
data_LaY2Ru2
_chemical_formula_sum 'La2 Y4 Ru4'
_space_group_name_H-M_alt 'P 4/m b m'
_space_group_IT_number 127
_space_group_name_Hall '-P 4 2ab'
_cell_length_a 7.969
_cell_length_b 7.969
_cell_length_c 3.468
_cell_angle_alpha 90.00
_cell_angle_beta 90.00
_cell_angle_gamma 90.00
loop_
_atom_site_label
_atom_site_type_symbol
_atom_site_fract_x
_atom_site_fract_y
_atom_site_fract_z
La1 La 0.000 0.000 0.000
Y1 Y 0.143 0.357 0.500
Ru1 Ru 0.156 0.656 0.000
# * E: -33.963 eV per atom
# * calculated formation energy: -0.27 eV/atom
# * magnetic moment: 0.00 μB per cell